# 1
Material: TlIBr2
Method: DFT, PBE-GGA
State: optimized geometry

Unit cell a=5.772 b=5.772 c=5.772 alpha=60.00 beta=60.00 gamma=60.00
Fractional positions:
Tl1 0.000 0.000 0.000
I1 0.500 0.500 0.500
Br1 0.250 0.250 0.250
Br2 0.750 0.750 0.750

DOS(E_F): 3.76 states/eV/cell
Energy above the most stable polymorph in this dataset: 1.47 eV/f.u.
Raw formation energy: -0.094 eV/atom
M_tot: 2.0 μB/cell

# 2
Material: Ba2Tl16Pb
Method: DFT, PBE-GGA
State: optimized geometry

Unit cell a=8.655 b=8.655 c=8.655 alpha=81.95 beta=81.95 gamma=81.95
Fractional positions:
Ba1 0.000 0.000 0.000
Ba2 0.329 0.329 0.329
Tl1 0.013 0.013 0.539
Tl2 0.013 0.539 0.013
Tl3 0.189 0.652 0.652
Tl4 0.301 0.301 0.863
Tl5 0.301 0.863 0.301
Tl6 0.367 0.671 0.969
Tl7 0.367 0.969 0.671
Tl8 0.539 0.013 0.013
Tl9 0.574 0.574 0.574
Tl10 0.652 0.189 0.652
Tl11 0.652 0.652 0.189
Tl12 0.671 0.367 0.969
Tl13 0.671 0.969 0.367
Tl14 0.863 0.301 0.301
Tl15 0.969 0.367 0.671
Tl16 0.969 0.671 0.367
Pb1 0.765 0.765 0.765

DOS(E_F): 10.53 states/eV/cell
Formation energy from the elements: -0.10 eV per atom
M_tot: 0.0 μB/cell

# 3
Material: Ho2Tm4Te9
Method: DFT, PBE-GGA
State: optimized geometry

Unit cell a=7.619 b=7.619 c=20.887 alpha=90.00 beta=90.00 gamma=120.00
Fractional positions:
Ho1 0.000 0.000 0.157
Ho2 0.000 0.000 0.343
Ho3 0.000 0.000 0.657
Ho4 0.000 0.000 0.843
Tm1 0.333 0.667 0.176
Tm2 0.333 0.667 0.491
Tm3 0.333 0.667 0.676
Tm4 0.333 0.667 0.991
Tm5 0.667 0.333 0.009
Tm6 0.667 0.333 0.324
Tm7 0.667 0.333 0.509
Tm8 0.667 0.333 0.824
Te1 0.000 0.317 0.250
Te2 0.000 0.683 0.750
Te3 0.018 0.354 0.583
Te4 0.018 0.664 0.083
Te5 0.317 0.000 0.250
Te6 0.317 0.317 0.750
Te7 0.336 0.354 0.083
Te8 0.336 0.982 0.583
Te9 0.354 0.018 0.917
Te10 0.354 0.336 0.417
Te11 0.646 0.664 0.583
Te12 0.646 0.982 0.083
Te13 0.664 0.018 0.417
Te14 0.664 0.646 0.917
Te15 0.683 0.000 0.750
Te16 0.683 0.683 0.250
Te17 0.982 0.336 0.917
Te18 0.982 0.646 0.417

Raw formation energy: -1.338 eV/atom
M_tot: 0.0 μB/cell

# 4
Material: RbBa2Be
Method: DFT, PBE-GGA
State: optimized geometry

Unit cell a=8.398 b=8.398 c=8.398 alpha=103.68 beta=103.68 gamma=121.81
Fractional positions:
Rb1 0.000 0.000 0.000
Rb2 0.750 0.250 0.500
Ba1 0.231 0.625 0.106
Ba2 0.375 0.481 0.606
Ba3 0.519 0.125 0.894
Ba4 0.875 0.769 0.394
Be1 0.250 0.750 0.500
Be2 0.500 0.500 0.000

DOS(E_F): 10.49 states/eV/cell
Formation energy from the elements: 0.56 eV per atom
M_tot: 0.0 μB/cell